A relaxed V2ZnW crystal, computed with PBE.

Properties
theoretical density = 9447 kg/m³
formation enthalpy at 0 K = 0.69 eV/atom
E = -7.427 eV/atom
total magnetic moment = 0.00 μB per formula unit

a b c (Å): 6.8886 6.8886 5.5221
angles (deg): 51.41 51.41 90.00
With the nearest neighbours (Å) after each atom.
Positions (direct):
Zn: 0.2500 0.7500 0.5000  4 V 2.53, 2 W 2.60
Zn: 0.5000 0.5000 0.0000  4 V 2.53, 2 W 2.60
V: 0.1227 0.6250 0.2500  2 W 2.51, 2 Zn 2.53, 2 V 2.60
V: 0.6273 0.1250 0.2500  2 W 2.51, 2 Zn 2.53, 2 V 2.60
V: 0.8750 0.8773 0.7500  2 W 2.51, 2 Zn 2.53, 2 V 2.60
V: 0.3750 0.3727 0.7500  2 W 2.51, 2 Zn 2.53, 2 V 2.60
W: 0.7500 0.2500 0.5000  4 V 2.51, 2 Zn 2.60
W: 0.0000 0.0000 0.0000  4 V 2.51, 2 Zn 2.60